[1]
VASP calculation (PBE-GGA) on PrNd2Ni after structural relaxation.

DOS at the Fermi energy: 22.9 states/eV per cell
Energy of formation: -0.15 eV/atom
Total energy: -82.75 eV per cell
Energy relative to the lowest polymorph listed for this composition: 7 kJ/mol of formula units
Crystal system: orthorhombic

Cell lengths 3.799, 12.186, 10.010 Å; angles 90.00, 90.00, 90.00 degrees
Space group Cmcm (No. 63)
One atom of each set of equivalent atoms:
Pr 0.000 0.086 0.250 (multiplicity 4)
Nd 0.000 0.362 0.069 (multiplicity 8)
Ni 0.000 0.229 0.750 (multiplicity 4)

[2]
VASP calculation (PBE-GGA) on PrNd2Ni after structural relaxation.

DOS at the Fermi energy: 5.6 states/eV per cell
Energy of formation: -0.08 eV/atom
Total energy: -20.43 eV per cell
Energy relative to the lowest polymorph listed for this composition: 33 kJ/mol of formula units
Crystal system: tetragonal

Cell lengths 3.564, 3.564, 9.073 Å; angles 90.00, 90.00, 90.00 degrees
Space group P4/mmm (No. 123)
One atom of each set of equivalent atoms:
Pr 0.000 0.000 0.000 (multiplicity 1)
Nd 0.500 0.500 0.318 (multiplicity 2)
Ni 0.000 0.000 0.500 (multiplicity 1)

[3]
VASP calculation (PBE-GGA) on Pr3NdNi8 after structural relaxation.

DOS at the Fermi energy: 26.1 states/eV per cell
Energy of formation: -0.29 eV/atom
Total energy: -206.35 eV per cell
Crystal system: trigonal

Cell lengths 5.1928, 5.1928, 25.4717 Å; angles 90.00, 90.00, 120.00 degrees
Space group R3m (No. 160, hexagonal axes)
One atom of each set of equivalent atoms:
Pr 0.0000 0.0000 0.0000 (multiplicity 3)
Pr 0.0000 0.0000 0.1251 (multiplicity 3)
Pr 0.0000 0.0000 0.6247 (multiplicity 3)
Nd 0.0000 0.0000 0.4999 (multiplicity 3)
Ni 0.0000 0.0000 0.3124 (multiplicity 3)
Ni 0.0000 0.0000 0.8125 (multiplicity 3)
Ni 0.0004 0.5002 0.0626 (multiplicity 9)
Ni 0.0000 0.5000 0.5622 (multiplicity 9)

[4]
VASP calculation (PBE-GGA) on Pr4NdNi after structural relaxation.

DOS at the Fermi energy: 35.0 states/eV per cell
Energy of formation: -0.04 eV/atom
Total energy: -119.66 eV per cell
Crystal system: monoclinic

Cell lengths 18.024, 7.476, 6.150 Å; angles 90.00, 109.94, 90.00 degrees
Space group C2/m (No. 12)
One atom of each set of equivalent atoms:
Pr 0.000 0.232 0.000 (multiplicity 4)
Pr 0.117 0.250 0.617 (multiplicity 8)
Pr 0.178 0.500 0.177 (multiplicity 4)
Nd 0.197 0.000 0.198 (multiplicity 4)
Ni 0.000 0.500 0.305 (multiplicity 4)

[5]
VASP calculation (PBE-GGA) on Pr3NdNi after structural relaxation.

DOS at the Fermi energy: 27.1 states/eV per cell
Energy of formation: -0.11 eV/atom
Total energy: -101.75 eV per cell
Energy relative to the lowest polymorph listed for this composition: 0 kJ/mol of formula units
Crystal system: monoclinic

Cell lengths 12.272, 3.798, 14.290 Å; angles 90.00, 113.12, 90.00 degrees
Space group Cm (No. 8)
One atom of each set of equivalent atoms:
Pr 0.000 0.000 0.000 (multiplicity 2)
Pr 0.001 0.000 0.373 (multiplicity 2)
Pr 0.057 0.500 0.615 (multiplicity 2)
Pr 0.178 0.500 0.893 (multiplicity 2)
Pr 0.343 0.000 0.757 (multiplicity 2)
Pr 0.344 0.000 0.132 (multiplicity 2)
Nd 0.167 0.500 0.239 (multiplicity 2)
Nd 0.287 0.500 0.514 (multiplicity 2)
Ni 0.025 0.000 0.751 (multiplicity 2)
Ni 0.318 0.000 0.379 (multiplicity 2)

[6]
VASP calculation (PBE-GGA) on Pr2NdNi after structural relaxation.

DOS at the Fermi energy: 22.3 states/eV per cell
Energy of formation: -0.14 eV/atom
Total energy: -82.71 eV per cell
Energy relative to the lowest polymorph listed for this composition: 7 kJ/mol of formula units
Crystal system: orthorhombic

Cell lengths 3.808, 12.185, 10.082 Å; angles 90.00, 90.00, 90.00 degrees
Space group Cmcm (No. 63)
One atom of each set of equivalent atoms:
Pr 0.000 0.138 0.068 (multiplicity 8)
Nd 0.000 0.412 0.250 (multiplicity 4)
Ni 0.000 0.270 0.750 (multiplicity 4)